Record 1
{
  "formula": "NaUTiS4",
  "functional": "PBE",
  "state": "optimized geometry",
  "lattice": [[-7.270, 1.570, -0.178], [2.256, -7.292, -0.989], [0.677, 3.959, 7.275]],
  "species": ["S", "S", "Na", "Ti", "S", "S", "U", "Ti", "U", "S", "S", "S", "S", "Na"],
  "frac_coords": [[0.746, 0.028, 0.264], [0.282, 0.028, 0.264], [0.847, 0.693, 0.097], [0.500, 0.500, 0.500], [0.718, 0.972, 0.736], [0.250, 0.499, 0.703], [0.500, 0.000, 0.500], [0.000, 0.500, 0.500], [0.500, 0.000, 0.000], [0.750, 0.501, 0.703], [0.750, 0.501, 0.297], [0.254, 0.972, 0.736], [0.250, 0.499, 0.297], [0.153, 0.307, 0.903]],
  "m_tot_mub_per_cell": 6.0,
  "crystal_system": "orthorhombic",
  "raw_formation_energy_ev_per_atom": -1.340
}

=====

Record 2
{
  "formula": "Na2CIF",
  "functional": "PBE",
  "state": "optimized geometry",
  "lattice": [[5.094, 0.000, 0.000], [0.000, 4.133, 0.000], [0.000, 0.000, 5.094]],
  "species": ["C", "Na", "F", "I", "Na"],
  "frac_coords": [[0.000, 0.500, 0.000], [0.000, 0.000, 0.500], [0.000, 0.000, 0.000], [0.500, 0.500, 0.500], [0.500, 0.000, 0.000]],
  "m_tot_mub_per_cell": 2.0,
  "crystal_system": "tetragonal",
  "raw_formation_energy_ev_per_atom": -0.084
}